Ac2La3In2, optimized geometry, DFT PBE-GGA; VASP energy = -4.288 eV per atom; volume = 36.57 Å³ per atom; N(E_F) = 8.8 states/eV/cell; energy relative to the elements = -0.2197 eV per atom
1.0
1.906 -17.439 0.000
1.906 17.439 0.000
0.000 0.000 3.850
Ac La In
2 3 2
direct
0.201 0.799 0.000
0.799 0.201 0.000
0.379 0.621 0.500
0.500 0.500 0.500
0.621 0.379 0.500
0.061 0.939 0.000
0.939 0.061 0.000

AcLaIn6, optimized geometry, DFT PBE-GGA; VASP energy = -3.624 eV per atom; volume = 28.39 Å³ per atom; N(E_F) = 4.3 states/eV/cell; energy relative to the elements = -0.4402 eV per atom
1.0
5.211 0.000 0.000
0.000 3.550 6.140
0.000 -3.550 6.140
Ac La In
1 1 6
direct
0.000 0.000 0.000
0.500 0.667 0.667
0.000 0.027 0.487
0.000 0.487 0.027
0.000 0.488 0.488
0.500 0.185 0.185
0.500 0.185 0.631
0.500 0.631 0.185

Ac3LaIn, optimized geometry, DFT PBE-GGA; energy above the lowest structure with this stoichiometry = 0.0 meV/atom; VASP energy = -4.139 eV per atom; volume = 37.95 Å³ per atom; N(E_F) = 13.2 states/eV/cell; energy relative to the elements = -0.1408 eV per atom
1.0
2.627 -13.716 0.000
2.627 13.716 0.000
0.000 0.000 5.266
Ac La In
6 2 2
direct
0.054 0.946 0.750
0.250 0.750 0.750
0.443 0.557 0.750
0.557 0.443 0.250
0.750 0.250 0.250
0.946 0.054 0.250
0.346 0.654 0.250
0.654 0.346 0.750
0.153 0.847 0.250
0.847 0.153 0.750

Ac2La8In, optimized geometry, DFT PBE-GGA; VASP energy = -4.605 eV per atom; volume = 36.51 Å³ per atom; N(E_F) = 17.4 states/eV/cell; energy relative to the elements = -0.0251 eV per atom
1.0
8.463 -3.019 0.000
8.463 3.019 0.000
-5.186 0.000 7.859
Ac La In
2 8 1
direct
0.224 0.224 0.131
0.776 0.776 0.869
0.025 0.025 0.208
0.125 0.125 0.644
0.328 0.328 0.601
0.427 0.427 0.089
0.573 0.573 0.911
0.672 0.672 0.399
0.875 0.875 0.356
0.975 0.975 0.792
0.500 0.500 0.500

AcLa7In3, optimized geometry, DFT PBE-GGA; VASP energy = -4.350 eV per atom; volume = 35.69 Å³ per atom; N(E_F) = 15.4 states/eV/cell; energy relative to the elements = -0.0941 eV per atom
1.0
5.880 -6.156 0.000
5.880 6.156 0.000
-3.085 0.000 5.424
Ac La In
1 7 3
direct
0.000 0.000 0.000
0.000 0.000 0.500
0.107 0.547 0.816
0.341 0.341 0.344
0.453 0.893 0.184
0.547 0.107 0.816
0.659 0.659 0.656
0.893 0.453 0.184
0.263 0.737 0.500
0.500 0.500 0.000
0.737 0.263 0.500

AcLa4In, optimized geometry, DFT PBE-GGA; VASP energy = -4.581 eV per atom; volume = 34.83 Å³ per atom; N(E_F) = 15.8 states/eV/cell; energy relative to the elements = -0.1545 eV per atom
1.0
6.376 0.000 0.000
0.000 7.257 0.000
-0.233 0.000 9.033
Ac La In
2 8 2
direct
0.161 0.250 0.171
0.839 0.750 0.829
0.000 0.000 0.500
0.000 0.500 0.500
0.339 0.010 0.838
0.339 0.490 0.838
0.481 0.750 0.484
0.519 0.250 0.516
0.661 0.510 0.162
0.661 0.990 0.162
0.165 0.750 0.159
0.835 0.250 0.841

AcLaIn4, optimized geometry, DFT PBE-GGA; energy above the lowest structure with this stoichiometry = 0.0 meV/atom; VASP energy = -3.818 eV per atom; volume = 29.82 Å³ per atom; N(E_F) = 4.1 states/eV/cell; energy relative to the elements = -0.4861 eV per atom
1.0
-2.433 3.920 4.689
2.433 -3.920 4.689
2.433 3.920 -4.689
Ac La In
1 1 4
direct
0.000 0.000 0.000
0.618 0.118 0.500
0.018 0.718 0.300
0.203 0.397 0.806
0.418 0.718 0.700
0.591 0.397 0.194

Ac2La5In4, optimized geometry, DFT PBE-GGA; VASP energy = -4.250 eV per atom; volume = 33.60 Å³ per atom; N(E_F) = 14.3 states/eV/cell; energy relative to the elements = -0.2671 eV per atom
1.0
9.140 0.000 0.000
0.000 3.624 0.000
-1.431 0.000 11.158
Ac La In
2 5 4
direct
0.086 0.000 0.145
0.914 0.000 0.855
0.157 0.000 0.642
0.469 0.000 0.160
0.500 0.000 0.500
0.531 0.000 0.840
0.843 0.000 0.358
0.198 0.500 0.393
0.250 0.500 0.922
0.750 0.500 0.078
0.802 0.500 0.607

Ac4LaIn, optimized geometry, DFT PBE-GGA; energy above the lowest structure with this stoichiometry = 409.6 meV/atom; VASP energy = -3.726 eV per atom; volume = 43.14 Å³ per atom; N(E_F) = 8.5 states/eV/cell; energy relative to the elements = 0.2907 eV per atom
1.0
0.000 5.058 5.058
5.058 0.000 5.058
5.058 5.058 0.000
Ac La In
4 1 1
direct
0.125 0.125 0.125
0.125 0.125 0.626
0.125 0.626 0.125
0.626 0.125 0.125
0.500 0.500 0.500
0.750 0.750 0.750

Ac2LaIn3, optimized geometry, DFT PBE-GGA; VASP energy = -4.011 eV per atom; volume = 33.36 Å³ per atom; N(E_F) = 5.0 states/eV/cell; energy relative to the elements = -0.4515 eV per atom
1.0
4.045 0.000 0.000
0.000 4.045 0.000
0.000 0.000 12.232
Ac La In
2 1 3
direct
0.000 0.000 0.171
0.000 0.000 0.829
0.000 0.000 0.500
0.500 0.500 0.000
0.500 0.500 0.344
0.500 0.500 0.656

Ac2La2In3, optimized geometry, DFT PBE-GGA; energy above the lowest structure with this stoichiometry = 0.0 meV/atom; VASP energy = -4.117 eV per atom; volume = 33.31 Å³ per atom; N(E_F) = 7.3 states/eV/cell; energy relative to the elements = -0.3616 eV per atom
1.0
4.129 0.000 0.000
-2.064 6.232 0.000
-0.001 -0.765 9.062
Ac La In
2 2 3
direct
0.060 0.119 0.201
0.940 0.881 0.799
0.205 0.408 0.657
0.795 0.592 0.343
0.332 0.664 0.057
0.500 0.000 0.500
0.668 0.336 0.943

Ac6LaIn5, optimized geometry, DFT PBE-GGA; VASP energy = -3.930 eV per atom; volume = 35.46 Å³ per atom; N(E_F) = 13.6 states/eV/cell; energy relative to the elements = -0.3245 eV per atom
1.0
8.774 -4.636 0.000
8.774 4.636 0.000
-1.721 0.000 5.231
Ac La In
6 1 5
direct
0.064 0.590 0.327
0.225 0.775 0.000
0.410 0.936 0.673
0.590 0.064 0.327
0.775 0.225 0.000
0.936 0.410 0.673
0.500 0.500 0.500
0.000 0.000 0.500
0.173 0.173 0.173
0.352 0.352 0.851
0.648 0.648 0.149
0.827 0.827 0.827

AcLaIn4, optimized geometry, DFT PBE-GGA; energy above the lowest structure with this stoichiometry = 40.5 meV/atom; VASP energy = -3.777 eV per atom; volume = 28.59 Å³ per atom; N(E_F) = 4.8 states/eV/cell; energy relative to the elements = -0.4456 eV per atom
1.0
0.000 4.410 4.410
4.410 0.000 4.410
4.410 4.410 0.000
Ac La In
1 1 4
direct
0.000 0.000 0.000
0.750 0.750 0.750
0.375 0.375 0.375
0.375 0.375 0.874
0.375 0.874 0.375
0.874 0.375 0.375

Ac5LaIn6, optimized geometry, DFT PBE-GGA; VASP energy = -3.927 eV per atom; volume = 34.00 Å³ per atom; N(E_F) = 8.5 states/eV/cell; energy relative to the elements = -0.4351 eV per atom
1.0
9.152 -4.053 0.000
9.152 4.053 0.000
-1.812 0.000 5.499
Ac La In
5 1 6
direct
0.000 0.000 0.000
0.164 0.164 0.665
0.330 0.330 0.329
0.670 0.670 0.671
0.836 0.836 0.335
0.500 0.500 0.000
0.092 0.580 0.835
0.261 0.739 0.500
0.420 0.908 0.165
0.580 0.092 0.835
0.739 0.261 0.500
0.908 0.420 0.165

AcLa2In2, optimized geometry, DFT PBE-GGA; energy above the lowest structure with this stoichiometry = 0.0 meV/atom; VASP energy = -4.230 eV per atom; volume = 34.48 Å³ per atom; N(E_F) = 7.7 states/eV/cell; energy relative to the elements = -0.3417 eV per atom
1.0
7.246 0.000 0.000
0.000 5.409 0.000
-3.620 0.000 8.798
Ac La In
2 4 4
direct
0.089 0.250 0.176
0.911 0.750 0.824
0.272 0.750 0.544
0.453 0.750 0.905
0.547 0.250 0.095
0.728 0.250 0.456
0.163 0.250 0.747
0.417 0.750 0.254
0.583 0.250 0.746
0.837 0.750 0.253

Ac4LaIn, optimized geometry, DFT PBE-GGA; energy above the lowest structure with this stoichiometry = 439.4 meV/atom; VASP energy = -3.696 eV per atom; volume = 47.30 Å³ per atom; N(E_F) = 20.8 states/eV/cell; energy relative to the elements = 0.3205 eV per atom
1.0
-6.089 6.089 3.827
6.089 -6.089 3.827
6.089 6.089 -3.827
Ac La In
8 2 2
direct
0.222 0.494 0.728
0.244 0.016 0.772
0.244 0.472 0.228
0.264 0.000 0.264
0.736 0.000 0.736
0.750 0.514 0.764
0.750 0.986 0.236
0.766 0.494 0.272
0.224 0.724 0.500
0.474 0.474 0.000
0.723 0.223 0.500
0.973 0.973 0.000

AcLa6In, optimized geometry, DFT PBE-GGA; energy above the lowest structure with this stoichiometry = 0.0 meV/atom; VASP energy = -4.682 eV per atom; volume = 35.32 Å³ per atom; N(E_F) = 11.1 states/eV/cell; energy relative to the elements = -0.1306 eV per atom
1.0
5.182 0.000 0.000
0.000 5.182 0.000
0.000 0.000 10.521
Ac La In
1 6 1
direct
0.000 0.000 0.000
0.000 0.500 0.262
0.000 0.500 0.738
0.500 0.000 0.262
0.500 0.000 0.738
0.500 0.500 0.000
0.500 0.500 0.500
0.000 0.000 0.500

Ac2La3In3, optimized geometry, DFT PBE-GGA; VASP energy = -4.233 eV per atom; volume = 34.71 Å³ per atom; N(E_F) = 7.7 states/eV/cell; energy relative to the elements = -0.3308 eV per atom
1.0
-2.038 2.844 11.977
2.038 -2.844 11.977
2.038 2.844 -11.977
Ac La In
2 3 3
direct
0.228 0.228 0.000
0.772 0.772 0.000
0.000 0.000 0.000
0.383 0.883 0.500
0.617 0.117 0.500
0.113 0.613 0.500
0.500 0.500 0.000
0.887 0.387 0.500

AcLa4In, optimized geometry, DFT PBE-GGA; VASP energy = -4.579 eV per atom; volume = 34.85 Å³ per atom; N(E_F) = 15.9 states/eV/cell; energy relative to the elements = -0.1527 eV per atom
1.0
6.395 0.000 0.000
0.000 7.262 0.000
-0.252 0.000 9.005
Ac La In
2 8 2
direct
0.000 0.000 0.000
0.000 0.500 0.000
0.159 0.250 0.663
0.340 0.007 0.341
0.340 0.493 0.341
0.491 0.750 0.983
0.509 0.250 0.017
0.660 0.507 0.659
0.660 0.993 0.659
0.841 0.750 0.337
0.166 0.750 0.653
0.834 0.250 0.347

AcLa5In3, optimized geometry, DFT PBE-GGA; VASP energy = -4.453 eV per atom; volume = 33.41 Å³ per atom; N(E_F) = 24.1 states/eV/cell; energy relative to the elements = -0.3464 eV per atom
1.0
8.503 -4.909 0.000
8.503 4.909 0.000
0.000 0.000 7.204
Ac La In
2 10 6
direct
0.000 0.000 0.000
0.000 0.000 0.500
0.000 0.337 0.750
0.000 0.663 0.250
0.334 0.334 0.000
0.334 0.334 0.500
0.336 0.664 0.750
0.337 0.000 0.250
0.663 0.000 0.750
0.664 0.336 0.250
0.666 0.666 0.000
0.666 0.666 0.500
0.000 0.334 0.250
0.000 0.666 0.750
0.334 0.000 0.750
0.334 0.666 0.250
0.666 0.000 0.250
0.666 0.334 0.750

AcLa7In4, optimized geometry, DFT PBE-GGA; VASP energy = -4.298 eV per atom; volume = 34.71 Å³ per atom; N(E_F) = 13.8 states/eV/cell; energy relative to the elements = -0.1685 eV per atom
1.0
7.281 -3.066 0.000
7.281 3.066 0.000
-6.423 0.000 9.330
Ac La In
1 7 4
direct
0.000 0.000 0.000
0.058 0.058 0.377
0.204 0.204 0.880
0.298 0.298 0.367
0.500 0.500 0.000
0.702 0.702 0.633
0.796 0.796 0.120
0.942 0.942 0.623
0.312 0.312 0.669
0.442 0.442 0.239
0.558 0.558 0.761
0.688 0.688 0.331

AcLa2In2, optimized geometry, DFT PBE-GGA; energy above the lowest structure with this stoichiometry = 86.7 meV/atom; VASP energy = -4.143 eV per atom; volume = 36.84 Å³ per atom; N(E_F) = 7.3 states/eV/cell; energy relative to the elements = -0.2550 eV per atom
1.0
5.627 0.000 0.000
-2.814 4.873 0.000
0.000 0.000 6.716
Ac La In
1 2 2
direct
0.000 0.000 0.000
0.333 0.667 0.662
0.667 0.333 0.338
0.333 0.667 0.175
0.667 0.333 0.825

Ac8LaIn2, optimized geometry, DFT PBE-GGA; VASP energy = -3.851 eV per atom; volume = 43.50 Å³ per atom; N(E_F) = 14.3 states/eV/cell; energy relative to the elements = 0.0825 eV per atom
1.0
8.292 -4.618 0.000
8.292 4.618 0.000
-2.655 0.000 6.247
Ac La In
8 1 2
direct
0.101 0.695 0.609
0.112 0.112 0.914
0.305 0.899 0.391
0.364 0.364 0.973
0.636 0.636 0.027
0.695 0.101 0.609
0.888 0.888 0.086
0.899 0.305 0.391
0.500 0.500 0.500
0.279 0.279 0.389
0.721 0.721 0.611

Listing theoretical density for the structures above in their given order: 7.1 7.7 8.2 6.9 6.5 7.1 7.7 7.2 7.5 7.8 7.7 8.1 8.0 8.0 7.1 6.8 6.9 7.3 7.1 7.0 6.6 6.6 7.6 g/cm³.